# CeH4Pd5, relaxed, DFT PBE-GGA
# calculated total energy: -4.849 eV/atom
# Fermi-level density of states: 12.7 states/eV/cell
data_CeH4Pd5
_space_group_name_H-M_alt 'P m m n'
_space_group_IT_number 59
_cell_length_a 5.8383
_cell_length_b 8.3131
_cell_length_c 4.9037
_cell_angle_alpha 90.00
_cell_angle_beta 90.00
_cell_angle_gamma 90.00
loop_
_space_group_symop_operation_xyz
'x,y,z'
'-x,-y,-z'
'-x+1/2,-y+1/2,z'
'x+1/2,y+1/2,-z'
'x+1/2,-y,-z'
'-x+1/2,y,z'
'-x,y+1/2,-z'
'x,-y+1/2,z'
loop_
_atom_site_label
_atom_site_type_symbol
_atom_site_fract_x
_atom_site_fract_y
_atom_site_fract_z
Ce1 Ce 0.2500 0.2500 0.2166
H1 H 0.0546 0.7500 0.4546
H2 H 0.2500 0.5305 0.9116
Pd1 Pd 0.0029 0.5784 0.2453
Pd2 Pd 0.2500 0.7500 0.7664


# CeH11Pd5, relaxed, DFT PBE-GGA
# calculated total energy: -4.146 eV/atom
# Fermi-level density of states: 13.2 states/eV/cell
data_CeH11Pd5
_space_group_name_H-M_alt 'C 1 2/m 1'
_space_group_IT_number 12
_cell_length_a 9.0057
_cell_length_b 8.0785
_cell_length_c 4.9914
_cell_angle_alpha 90.00
_cell_angle_beta 121.23
_cell_angle_gamma 90.00
loop_
_space_group_symop_operation_xyz
'x,y,z'
'-x,-y,-z'
'-x,y,-z'
'x,-y,z'
'x+1/2,y+1/2,z'
'-x+1/2,-y+1/2,-z'
'-x+1/2,y+1/2,-z'
'x+1/2,-y+1/2,z'
loop_
_atom_site_label
_atom_site_type_symbol
_atom_site_fract_x
_atom_site_fract_y
_atom_site_fract_z
Ce1 Ce 0.0000 0.0000 0.0000
H1 H 0.0000 0.0000 0.5000
H2 H 0.1076 0.2765 0.9212
H3 H 0.2052 0.3688 0.5212
H4 H 0.2268 0.5000 0.0721
Pd1 Pd 0.0000 0.5000 0.0000
Pd2 Pd 0.1899 0.1848 0.6943


# Ce3H12Pd5, relaxed, DFT PBE-GGA
# calculated total energy: -4.476 eV/atom
# Fermi-level density of states: 165.2 states/eV/cell
data_Ce3H12Pd5
_space_group_name_H-M_alt 'I a -3 d'
_space_group_IT_number 230
_space_group_name_Hall '-I 4bd 2c 3'
_cell_length_a 12.0665
_cell_length_b 12.0665
_cell_length_c 12.0665
_cell_angle_alpha 90.00
_cell_angle_beta 90.00
_cell_angle_gamma 90.00
loop_
_atom_site_label
_atom_site_type_symbol
_atom_site_fract_x
_atom_site_fract_y
_atom_site_fract_z
Ce1 Ce 0.0000 0.2500 0.1250
H1 H 0.0333 0.0498 0.6404
Pd1 Pd 0.0000 0.0000 0.0000
Pd2 Pd 0.0000 0.2500 0.3750


# Ce2HPd, relaxed, DFT PBE-GGA
# relative energy among the computed polymorphs: 0.000 eV/atom
# Fermi-level density of states: 7.7 states/eV/cell
data_Ce2HPd
_space_group_name_H-M_alt 'P 4/m m m'
_space_group_IT_number 123
_space_group_name_Hall '-P 4 2'
_cell_length_a 3.2742
_cell_length_b 3.2742
_cell_length_c 6.7296
_cell_angle_alpha 90.00
_cell_angle_beta 90.00
_cell_angle_gamma 90.00
loop_
_atom_site_label
_atom_site_type_symbol
_atom_site_fract_x
_atom_site_fract_y
_atom_site_fract_z
Ce1 Ce 0.0000 0.0000 0.2013
H1 H 0.5000 0.5000 0.0000
Pd1 Pd 0.5000 0.5000 0.5000


# CeH2Pd8, relaxed, DFT PBE-GGA
# calculated total energy: -5.146 eV/atom
# Fermi-level density of states: 9.9 states/eV/cell
data_CeH2Pd8
_space_group_name_H-M_alt 'C 1 2/m 1'
_space_group_IT_number 12
_cell_length_a 10.2621
_cell_length_b 7.3099
_cell_length_c 4.5805
_cell_angle_alpha 90.00
_cell_angle_beta 102.10
_cell_angle_gamma 90.00
loop_
_space_group_symop_operation_xyz
'x,y,z'
'-x,-y,-z'
'-x,y,-z'
'x,-y,z'
'x+1/2,y+1/2,z'
'-x+1/2,-y+1/2,-z'
'-x+1/2,y+1/2,-z'
'x+1/2,-y+1/2,z'
loop_
_atom_site_label
_atom_site_type_symbol
_atom_site_fract_x
_atom_site_fract_y
_atom_site_fract_z
Ce1 Ce 0.0000 0.0000 0.0000
H1 H 0.2371 0.5000 0.2733
Pd1 Pd 0.0659 0.5000 0.2787
Pd2 Pd 0.1371 0.1853 0.5930
Pd3 Pd 0.2325 0.5000 0.8624


# CeH7Pd5, relaxed, DFT PBE-GGA
# calculated total energy: -4.475 eV/atom
# Fermi-level density of states: 7.3 states/eV/cell
data_CeH7Pd5
_space_group_name_H-M_alt 'P 1'
_space_group_IT_number 1
_cell_length_a 5.5151
_cell_length_b 5.5970
_cell_length_c 5.7992
_cell_angle_alpha 63.49
_cell_angle_beta 78.17
_cell_angle_gamma 62.17
loop_
_space_group_symop_operation_xyz
'x,y,z'
loop_
_atom_site_label
_atom_site_type_symbol
_atom_site_fract_x
_atom_site_fract_y
_atom_site_fract_z
Ce1 Ce 0.0000 0.0000 0.0000
H1 H 0.1419 0.8958 0.5932
H2 H 0.3226 0.4616 0.6818
H3 H 0.4122 0.4790 0.2004
H4 H 0.5672 0.9031 0.2092
H5 H 0.6668 0.8334 0.6877
H6 H 0.8439 0.4709 0.5917
H7 H 0.9980 0.5185 0.0429
Pd1 Pd 0.3837 0.2958 0.0184
Pd2 Pd 0.4911 0.2239 0.5248
Pd3 Pd 0.5030 0.7085 0.5470
Pd4 Pd 0.6102 0.6965 0.0236
Pd5 Pd 0.9992 0.2629 0.4067


# Ce4HPd2, relaxed, DFT PBE-GGA
# calculated total energy: -5.704 eV/atom
# Fermi-level density of states: 44.2 states/eV/cell
data_Ce4HPd2
_space_group_name_H-M_alt 'I 4/m m m'
_space_group_IT_number 139
_space_group_name_Hall '-I 4 2'
_cell_length_a 4.5409
_cell_length_b 4.5409
_cell_length_c 15.5348
_cell_angle_alpha 90.00
_cell_angle_beta 90.00
_cell_angle_gamma 90.00
loop_
_atom_site_label
_atom_site_type_symbol
_atom_site_fract_x
_atom_site_fract_y
_atom_site_fract_z
Ce1 Ce 0.0000 0.0000 0.1837
Ce2 Ce 0.0000 0.5000 0.0000
H1 H 0.0000 0.0000 0.0000
Pd1 Pd 0.0000 0.0000 0.3569


# CeH3Pd, relaxed, DFT PBE-GGA
# calculated total energy: -4.664 eV/atom
# Fermi-level density of states: 12.5 states/eV/cell
data_CeH3Pd
_space_group_name_H-M_alt 'P 1 21 1'
_space_group_IT_number 4
_cell_length_a 4.2814
_cell_length_b 4.7217
_cell_length_c 6.1944
_cell_angle_alpha 90.00
_cell_angle_beta 109.72
_cell_angle_gamma 90.00
loop_
_space_group_symop_operation_xyz
'x,y,z'
'-x,y+1/2,-z'
loop_
_atom_site_label
_atom_site_type_symbol
_atom_site_fract_x
_atom_site_fract_y
_atom_site_fract_z
Ce1 Ce 0.1290 0.0000 0.2739
H1 H 0.0473 0.4971 0.1498
H2 H 0.3269 0.7242 0.6149
H3 H 0.4387 0.3468 0.8570
Pd1 Pd 0.3802 0.9790 0.8413


# CeHPd, relaxed, DFT PBE-GGA
# relative energy among the computed polymorphs: 0.000 eV/atom
# Fermi-level density of states: 9.6 states/eV/cell
data_CeHPd
_space_group_name_H-M_alt 'P m c 21'
_space_group_IT_number 26
_cell_length_a 3.4824
_cell_length_b 5.5416
_cell_length_c 4.9162
_cell_angle_alpha 90.00
_cell_angle_beta 90.00
_cell_angle_gamma 90.00
loop_
_space_group_symop_operation_xyz
'x,y,z'
'-x,-y,z+1/2'
'-x,y,z'
'x,-y,z+1/2'
loop_
_atom_site_label
_atom_site_type_symbol
_atom_site_fract_x
_atom_site_fract_y
_atom_site_fract_z
Ce1 Ce 0.0000 0.2095 0.0000
H1 H 0.5000 0.0600 0.6931
Pd1 Pd 0.5000 0.3483 0.4961


# Ce2HPd, relaxed, DFT PBE-GGA
# relative energy among the computed polymorphs: 0.191 eV/atom
# Fermi-level density of states: 20.9 states/eV/cell
data_Ce2HPd
_space_group_name_H-M_alt 'R -3 m'
_space_group_IT_number 166
_space_group_name_Hall '-R 3 2"'
_cell_length_a 3.1160
_cell_length_b 3.1160
_cell_length_c 25.9214
_cell_angle_alpha 90.00
_cell_angle_beta 90.00
_cell_angle_gamma 120.00
loop_
_atom_site_label
_atom_site_type_symbol
_atom_site_fract_x
_atom_site_fract_y
_atom_site_fract_z
Ce1 Ce 0.0000 0.0000 0.1030
H1 H 0.0000 0.0000 0.5000
Pd1 Pd 0.0000 0.0000 0.0000


# CeH2Pd, relaxed, DFT PBE-GGA
# relative energy among the computed polymorphs: 0.043 eV/atom
# Fermi-level density of states: 14.3 states/eV/cell
data_CeH2Pd
_space_group_name_H-M_alt 'P 1 21/c 1'
_space_group_IT_number 14
_cell_length_a 6.4149
_cell_length_b 5.5468
_cell_length_c 5.8772
_cell_angle_alpha 90.00
_cell_angle_beta 99.50
_cell_angle_gamma 90.00
loop_
_space_group_symop_operation_xyz
'x,y,z'
'-x,-y,-z'
'-x,y+1/2,-z+1/2'
'x,-y+1/2,z+1/2'
loop_
_atom_site_label
_atom_site_type_symbol
_atom_site_fract_x
_atom_site_fract_y
_atom_site_fract_z
Ce1 Ce 0.1952 0.0042 0.2897
H1 H 0.0012 0.7435 0.4992
H2 H 0.4433 0.7385 0.1084
Pd1 Pd 0.3452 0.5050 0.3073


# CeH8Pd2Pt, relaxed, DFT PBE-GGA
# calculated total energy: -4.295 eV/atom
# Fermi-level density of states: 15.6 states/eV/cell
data_CeH8Pd2Pt
_space_group_name_H-M_alt 'R -3'
_space_group_IT_number 148
_space_group_name_Hall '-R 3'
_cell_length_a 4.6998
_cell_length_b 4.6998
_cell_length_c 17.7433
_cell_angle_alpha 90.00
_cell_angle_beta 90.00
_cell_angle_gamma 120.00
loop_
_atom_site_label
_atom_site_type_symbol
_atom_site_fract_x
_atom_site_fract_y
_atom_site_fract_z
Ce1 Ce 0.0000 0.0000 0.0000
H1 H 0.0000 0.0000 0.3275
H2 H 0.0147 0.6265 0.2224
Pd1 Pd 0.0000 0.0000 0.2345
Pt1 Pt 0.0000 0.0000 0.5000


# CeHPd2Rh, relaxed, DFT PBE-GGA
# calculated total energy: -6.023 eV/atom
# Fermi-level density of states: 4.1 states/eV/cell
data_CeHPd2Rh
_space_group_name_H-M_alt 'P 4/m m m'
_space_group_IT_number 123
_space_group_name_Hall '-P 4 2'
_cell_length_a 4.0956
_cell_length_b 4.0956
_cell_length_c 4.3256
_cell_angle_alpha 90.00
_cell_angle_beta 90.00
_cell_angle_gamma 90.00
loop_
_atom_site_label
_atom_site_type_symbol
_atom_site_fract_x
_atom_site_fract_y
_atom_site_fract_z
Ce1 Ce 0.0000 0.0000 0.0000
H1 H 0.5000 0.5000 0.5000
Pd1 Pd 0.0000 0.5000 0.5000
Rh1 Rh 0.5000 0.5000 0.0000


# Ce2H6PdRh, relaxed, DFT PBE-GGA
# calculated total energy: -4.883 eV/atom
# Fermi-level density of states: 88.5 states/eV/cell
data_Ce2H6PdRh
_space_group_name_H-M_alt 'R -3 m'
_space_group_IT_number 166
_space_group_name_Hall '-R 3 2"'
_cell_length_a 5.2638
_cell_length_b 5.2638
_cell_length_c 27.5950
_cell_angle_alpha 90.00
_cell_angle_beta 90.00
_cell_angle_gamma 120.00
loop_
_atom_site_label
_atom_site_type_symbol
_atom_site_fract_x
_atom_site_fract_y
_atom_site_fract_z
Ce1 Ce 0.0000 0.0000 0.1265
Ce2 Ce 0.0000 0.0000 0.2861
H1 H 0.0063 0.5032 0.8682
H2 H 0.0293 0.5146 0.7067
Pd1 Pd 0.0000 0.0000 0.4009
Rh1 Rh 0.0000 0.0000 0.0000
Rh2 Rh 0.0000 0.0000 0.5000


# CeH8PdRh2, relaxed, DFT PBE-GGA
# calculated total energy: -4.606 eV/atom
# Fermi-level density of states: 20.8 states/eV/cell
data_CeH8PdRh2
_space_group_name_H-M_alt 'R -3'
_space_group_IT_number 148
_space_group_name_Hall '-R 3'
_cell_length_a 4.8375
_cell_length_b 4.8375
_cell_length_c 16.1254
_cell_angle_alpha 90.00
_cell_angle_beta 90.00
_cell_angle_gamma 120.00
loop_
_atom_site_label
_atom_site_type_symbol
_atom_site_fract_x
_atom_site_fract_y
_atom_site_fract_z
Ce1 Ce 0.0000 0.0000 0.0000
H1 H 0.0000 0.0000 0.3117
H2 H 0.0038 0.2958 0.1204
Pd1 Pd 0.0000 0.0000 0.5000
Rh1 Rh 0.0000 0.0000 0.2069


# CeH8Pd2Rh3, relaxed, DFT PBE-GGA
# calculated total energy: -4.897 eV/atom
# Fermi-level density of states: 23.1 states/eV/cell
data_CeH8Pd2Rh3
_space_group_name_H-M_alt 'R 3 m'
_space_group_IT_number 160
_space_group_name_Hall 'R 3 -2"'
_cell_length_a 5.6976
_cell_length_b 5.6976
_cell_length_c 14.1335
_cell_angle_alpha 90.00
_cell_angle_beta 90.00
_cell_angle_gamma 120.00
loop_
_atom_site_label
_atom_site_type_symbol
_atom_site_fract_x
_atom_site_fract_y
_atom_site_fract_z
Ce1 Ce 0.0000 0.0000 0.0000
H1 H 0.0000 0.0000 0.3856
H2 H 0.0000 0.0000 0.8415
H3 H 0.0855 0.5428 0.3936
H4 H 0.1737 0.3473 0.1961
Pd1 Pd 0.0000 0.0000 0.2542
Pd2 Pd 0.0000 0.0000 0.6228
Rh1 Rh 0.0056 0.5028 0.1262


# CeH8Pd2Rh, relaxed, DFT PBE-GGA
# calculated total energy: -4.400 eV/atom
# Fermi-level density of states: 16.4 states/eV/cell
data_CeH8Pd2Rh
_space_group_name_H-M_alt 'R -3'
_space_group_IT_number 148
_space_group_name_Hall '-R 3'
_cell_length_a 4.7845
_cell_length_b 4.7845
_cell_length_c 16.1790
_cell_angle_alpha 90.00
_cell_angle_beta 90.00
_cell_angle_gamma 120.00
loop_
_atom_site_label
_atom_site_type_symbol
_atom_site_fract_x
_atom_site_fract_y
_atom_site_fract_z
Ce1 Ce 0.0000 0.0000 0.0000
H1 H 0.0000 0.0000 0.3260
H2 H 0.0043 0.3772 0.2208
Pd1 Pd 0.0000 0.0000 0.2232
Rh1 Rh 0.0000 0.0000 0.5000


# CeH6PdRu, relaxed, DFT PBE-GGA
# calculated total energy: -4.738 eV/atom
# Fermi-level density of states: 7.6 states/eV/cell
data_CeH6PdRu
_space_group_name_H-M_alt 'P -6 m 2'
_space_group_IT_number 187
_space_group_name_Hall 'P -6 2'
_cell_length_a 4.7305
_cell_length_b 4.7305
_cell_length_c 4.2952
_cell_angle_alpha 90.00
_cell_angle_beta 90.00
_cell_angle_gamma 120.00
loop_
_atom_site_label
_atom_site_type_symbol
_atom_site_fract_x
_atom_site_fract_y
_atom_site_fract_z
Ce1 Ce 0.0000 0.0000 0.0000
H1 H 0.5117 0.0235 0.2247
Pd1 Pd 0.3333 0.6667 0.5000
Ru1 Ru 0.6667 0.3333 0.5000


| no. | magnetic moment (Bohr magnetons per cell) |
| --- | --- |
| 1 | 1.16 |
| 2 | 1.52 |
| 3 | 27.79 |
| 4 | 1.16 |
| 5 | 0.37 |
| 6 | 0.69 |
| 7 | 8.39 |
| 8 | 2.05 |
| 9 | 1.59 |
| 10 | 3.18 |
| 11 | 1.16 |
| 12 | 1.53 |
| 13 | 0.32 |
| 14 | 14.63 |
| 15 | 2.54 |
| 16 | 2.29 |
| 17 | 1.45 |
| 18 | 0.29 |